1.
Below is Y3PSe at its PBEsol-relaxed geometry, with properties calculated at the SCAN level.

Computed properties:
- energy relative to the elements, uncorrected (meV/atom) = -734
- D(E_F) (states/eV/cell) = 5.2
- E (eV/cell) = -117.67
- ΔE to the lowest computed polymorph (eV per atom) = 0.000

a = 5.177 Å, b = 5.177 Å, c = 5.177 Å
α = 90.00°, β = 90.00°, γ = 90.00°
Element x y z (fractional)
Y 0.500 0.000 0.000
Se 0.500 0.500 0.500
Y 0.000 0.000 0.500
P 0.000 0.000 0.000
Y 0.000 0.500 0.000

***

2.
Below is BaBe2Br at its PBEsol-relaxed geometry, with properties calculated at the SCAN level.

Computed properties:
- energy relative to the elements, uncorrected (meV/atom) = -78
- D(E_F) (states/eV/cell) = 1.6
- E (eV/cell) = -68.03
- ΔE to the lowest computed polymorph (eV per atom) = 0.000

a = 4.453 Å, b = 4.429 Å, c = 5.537 Å
α = 90.34°, β = 113.71°, γ = 90.00°
Element x y z (fractional)
Be 0.770 0.501 0.540
Ba 0.500 0.000 0.000
Be 0.230 0.499 0.460
Br 0.000 0.500 0.000

***

3.
Below is KLi3Cr at its PBEsol-relaxed geometry, with properties calculated at the SCAN level.

Computed properties:
- D(E_F) (states/eV/cell) = 2.2
- E (eV/cell) = -31.83

a = 5.385 Å, b = 5.385 Å, c = 5.385 Å
α = 90.00°, β = 90.00°, γ = 90.00°
Element x y z (fractional)
Li 0.000 0.500 0.000
Cr 0.000 0.000 0.000
Li 0.000 0.000 0.500
K 0.500 0.500 0.500
Li 0.500 0.000 0.000